# 1
Entry from the Alexandria database: a relaxed Ta2MoP crystal (PBE).

Cell lengths 5.1335, 5.1335, 2.9086 Å; angles 76.74, 76.74, 110.65 degrees
Fractional positions:
Ta 0.0000 0.5000 0.0000
Ta 0.5000 0.0000 0.0000
Mo 0.0000 0.0000 0.5000
P 0.5000 0.5000 0.5000

- Symmetry: No. 12
- Crystal system: monoclinic
- E_form: 5 meV/atom
- Total magnetic moment: 0.0 μB per formula unit
- VASP energy: -9.98 eV per atom


# 2
Entry from the Alexandria database: a relaxed TaMo2P crystal (PBE).

Cell lengths 3.2490, 3.2490, 5.8515 Å; angles 90.00, 90.00, 90.00 degrees
Fractional positions:
Ta 0.5000 0.5000 0.5000
Mo 0.0000 0.0000 0.7700
Mo 0.0000 0.0000 0.2300
P 0.5000 0.5000 0.0000

- Symmetry: No. 123
- Crystal system: tetragonal
- E_form: -128 meV/atom
- Total magnetic moment: 0.0 μB per formula unit
- VASP energy: -9.86 eV per atom


# 3
Entry from the Alexandria database: a relaxed TaMo2P2 crystal (PBE).

Cell lengths 6.8499, 6.8499, 3.1202 Å; angles 90.00, 90.00, 90.00 degrees
Fractional positions:
P 0.3493 0.8493 0.0000
P 0.8493 0.6507 0.0000
P 0.6507 0.1507 0.0000
P 0.1507 0.3493 0.0000
Mo 0.1455 0.6455 0.5000
Mo 0.6455 0.8545 0.5000
Mo 0.8545 0.3545 0.5000
Mo 0.3545 0.1455 0.5000
Ta 0.0000 0.0000 0.0000
Ta 0.5000 0.5000 0.0000

- Symmetry: No. 127
- ΔE to the lowest computed polymorph: 0 meV per atom
- Crystal system: tetragonal
- E_form: -360 meV/atom
- Total magnetic moment: 0.0 μB per formula unit
- VASP energy: -9.23 eV per atom


# 4
Entry from the Alexandria database: a relaxed TaMo2P crystal (PBE).

Cell lengths 2.8947, 2.8947, 7.4784 Å; angles 90.00, 90.00, 90.00 degrees
Fractional positions:
Ta 0.5000 0.5000 0.5000
Mo 0.0000 0.0000 0.8009
Mo 0.0000 0.0000 0.1991
P 0.5000 0.5000 0.0000

- Symmetry: No. 123
- Crystal system: tetragonal
- E_form: -23 meV/atom
- Total magnetic moment: 0.0 μB per formula unit
- VASP energy: -9.75 eV per atom


# 5
Entry from the Alexandria database: a relaxed TaMo2P2 crystal (PBE).

Cell lengths 7.1098, 7.1098, 3.0001 Å; angles 90.00, 90.00, 90.00 degrees
Fractional positions:
Ta 0.0000 0.0000 0.0000
Ta 0.5000 0.5000 0.0000
Mo 0.1421 0.6421 0.0000
Mo 0.8579 0.3579 0.0000
Mo 0.6421 0.8579 0.0000
Mo 0.3579 0.1421 0.0000
P 0.6575 0.1575 0.5000
P 0.3425 0.8425 0.5000
P 0.1575 0.3425 0.5000
P 0.8425 0.6575 0.5000

- Symmetry: No. 127
- ΔE to the lowest computed polymorph: 333 meV per atom
- Crystal system: tetragonal
- E_form: -27 meV/atom
- Total magnetic moment: 0.0 μB per formula unit
- VASP energy: -8.89 eV per atom


# 6
Entry from the Alexandria database: a relaxed TaMoP2 crystal (PBE).

Cell lengths 3.2368, 3.2368, 5.6160 Å; angles 90.00, 90.00, 90.00 degrees
Fractional positions:
Mo 0.5000 0.5000 0.8001
P 0.0000 0.0000 0.9776
P 0.5000 0.5000 0.2671
Ta 0.0000 0.0000 0.4552

- Symmetry: No. 99
- ΔE to the lowest computed polymorph: 0 meV per atom
- Crystal system: tetragonal
- E_form: -601 meV/atom
- Total magnetic moment: 0.0 μB per formula unit
- VASP energy: -8.98 eV per atom


# 7
Entry from the Alexandria database: a relaxed TaMo2PW crystal (PBE).

Cell lengths 4.4287, 4.4632, 4.4287 Å; angles 90.00, 90.00, 90.00 degrees
Fractional positions:
P 0.0000 0.0000 0.0000
Mo 0.0000 0.0000 0.5000
Mo 0.5000 0.0000 0.0000
W 0.0000 0.5000 0.0000
Ta 0.5000 0.5000 0.5000

- Symmetry: No. 123
- Crystal system: tetragonal
- E_form: 537 meV/atom
- Total magnetic moment: 0.0 μB per formula unit
- VASP energy: -9.84 eV per atom


# 8
Entry from the Alexandria database: a relaxed TbMoP2 crystal (PBE).

Cell lengths 3.7908, 3.7908, 6.3305 Å; angles 72.58, 72.58, 60.00 degrees
Each line ends with the local moment (μB).
Fractional positions:
P 0.2628 0.2628 0.2117  -0.01
P 0.7372 0.7372 0.7883  -0.01
Mo 0.0000 0.0000 0.0000  0.77
Tb 0.5000 0.5000 0.5000  0.00

- Symmetry: No. 166
- Crystal system: trigonal
- E_form: -801 meV/atom
- Total magnetic moment: 0.8 μB per formula unit
- VASP energy: -7.37 eV per atom


# 9
Entry from the Alexandria database: a relaxed TbMoP crystal (PBE).

Cell lengths 6.2615, 6.2615, 7.6860 Å; angles 105.83, 105.83, 109.28 degrees
Fractional positions:
Tb 0.6771 0.6771 0.3543
Tb 0.3229 0.3229 0.6457
Tb 0.5729 0.0729 0.1457
Tb 0.9271 0.4271 0.8543
P 0.9686 0.4686 0.5000
P 0.7186 0.7186 0.0000
P 0.5314 0.0314 0.5000
P 0.2814 0.2814 0.0000
Mo 0.1250 0.3750 0.2500
Mo 0.1250 0.8750 0.7500
Mo 0.1250 0.8750 0.2500
Mo 0.6250 0.8750 0.7500

- Symmetry: No. 70
- Crystal system: orthorhombic
- E_form: -114 meV/atom
- Total magnetic moment: 0.0 μB per formula unit
- VASP energy: -7.07 eV per atom


# 10
Entry from the Alexandria database: a relaxed Tc4MoP crystal (PBE).

Cell lengths 5.0842, 5.0842, 5.0842 Å; angles 60.00, 60.00, 60.00 degrees
Fractional positions:
Tc 0.6258 0.6258 0.1226
Tc 0.6258 0.1226 0.6258
Tc 0.6258 0.6258 0.6258
Tc 0.1226 0.6258 0.6258
Mo 0.2500 0.2500 0.2500
P 0.0000 0.0000 0.0000

- Symmetry: No. 216
- Crystal system: cubic
- E_form: 557 meV/atom
- Total magnetic moment: 0.0 μB per formula unit
- VASP energy: -9.06 eV per atom


# 11
Entry from the Alexandria database: a relaxed Tc3MoP2 crystal (PBE).

Cell lengths 4.0316, 5.8922, 6.9999 Å; angles 90.00, 90.00, 90.00 degrees
Fractional positions:
Tc 0.0000 0.4921 0.9230
Tc 0.0000 0.9921 0.0770
Tc 0.5000 0.6411 0.1761
Tc 0.5000 0.1411 0.8239
Tc 0.0000 0.3612 0.3195
Tc 0.0000 0.8612 0.6805
Mo 0.5000 0.5057 0.5740
Mo 0.5000 0.0057 0.4260
P 0.5000 0.7444 0.8550
P 0.5000 0.2444 0.1450
P 0.0000 0.2554 0.6439
P 0.0000 0.7554 0.3561

- Symmetry: No. 26
- Crystal system: orthorhombic
- E_form: -422 meV/atom
- Total magnetic moment: 0.0 μB per formula unit
- VASP energy: -9.21 eV per atom


# 12
Entry from the Alexandria database: a relaxed TcMo3P crystal (PBE).

Cell lengths 4.6921, 4.6921, 4.6921 Å; angles 90.00, 90.00, 90.00 degrees
Each line ends with the local moment (μB).
Fractional positions:
P 0.5000 0.5000 0.5000  -0.04
Mo 0.0000 0.5000 0.0000  0.32
Mo 0.0000 0.0000 0.5000  0.44
Mo 0.5000 0.0000 0.0000  0.48
Tc 0.0000 0.0000 0.0000  -0.09

- Symmetry: No. 221
- ΔE to the lowest computed polymorph: 1068 meV per atom
- Crystal system: cubic
- E_form: 1799 meV/atom
- Total magnetic moment: 1.3 μB per formula unit
- VASP energy: -7.85 eV per atom


# 13
Entry from the Alexandria database: a relaxed TcMo3P crystal (PBE).

Cell lengths 4.3971, 4.3971, 4.3971 Å; angles 90.00, 90.00, 90.00 degrees
Fractional positions:
P 0.0000 0.0000 0.0000
Mo 0.0000 0.5000 0.0000
Mo 0.0000 0.0000 0.5000
Mo 0.5000 0.0000 0.0000
Tc 0.5000 0.5000 0.5000

- Symmetry: No. 221
- ΔE to the lowest computed polymorph: 0 meV per atom
- Crystal system: cubic
- E_form: 731 meV/atom
- Total magnetic moment: 0.0 μB per formula unit
- VASP energy: -8.92 eV per atom


# 14
Entry from the Alexandria database: a relaxed TcMo4P crystal (PBE).

Cell lengths 5.1544, 5.1544, 5.1544 Å; angles 60.00, 60.00, 60.00 degrees
Fractional positions:
Tc 0.0000 0.0000 0.0000
Mo 0.8717 0.3761 0.3761
Mo 0.3761 0.3761 0.8717
Mo 0.3761 0.8717 0.3761
Mo 0.3761 0.3761 0.3761
P 0.7500 0.7500 0.7500

- Symmetry: No. 216
- Crystal system: cubic
- E_form: 615 meV/atom
- Total magnetic moment: 0.0 μB per formula unit
- VASP energy: -9.24 eV per atom


# 15
Entry from the Alexandria database: a relaxed Ti2TcMoP crystal (PBE).

Cell lengths 4.7004, 4.6203, 4.7004 Å; angles 90.00, 90.00, 90.00 degrees
Each line ends with the local moment (μB).
Fractional positions:
P 0.5000 0.5000 0.5000  -0.01
Mo 0.0000 0.0000 0.0000  -0.03
Tc 0.0000 0.5000 0.0000  0.34
Ti 0.0000 0.0000 0.5000  -0.02
Ti 0.5000 0.0000 0.0000  -0.05

- Symmetry: No. 123
- Crystal system: tetragonal
- E_form: 1138 meV/atom
- Total magnetic moment: 0.2 μB per formula unit
- VASP energy: -7.34 eV per atom


# 16
Entry from the Alexandria database: a relaxed VTcMoP crystal (PBE).

Cell lengths 4.2394, 4.2394, 4.2394 Å; angles 60.00, 60.00, 60.00 degrees
Fractional positions:
P 0.7500 0.7500 0.7500
Mo 0.0000 0.0000 0.0000
Tc 0.5000 0.5000 0.5000
V 0.2500 0.2500 0.2500

- Symmetry: No. 216
- Crystal system: cubic
- E_form: -251 meV/atom
- Total magnetic moment: 0.0 μB per formula unit
- VASP energy: -9.18 eV per atom


# 17
Entry from the Alexandria database: a relaxed TeMo2P crystal (PBE).

Cell lengths 8.5304, 8.5304, 8.5304 Å; angles 21.73, 21.73, 21.73 degrees
Fractional positions:
Te 0.2568 0.2568 0.2568
Mo 0.0024 0.0024 0.0024
Mo 0.7563 0.7563 0.7563
P 0.4844 0.4844 0.4844

- Symmetry: No. 160
- ΔE to the lowest computed polymorph: 276 meV per atom
- Crystal system: trigonal
- Total magnetic moment: 0.0 μB per formula unit
- VASP energy: -7.40 eV per atom
- Formation energy from raw total energies: 58.5 kJ/mol of formula units


# 18
Entry from the Alexandria database: a relaxed TeMo2P crystal (PBE).

Cell lengths 4.5846, 4.5846, 5.2706 Å; angles 74.95, 74.95, 42.12 degrees
Fractional positions:
Te 0.7567 0.7567 0.7749
Mo 0.0008 0.0008 0.0130
Mo 0.2275 0.2275 0.3730
P 0.5149 0.5149 0.3391

- Symmetry: No. 8
- ΔE to the lowest computed polymorph: 38 meV per atom
- Crystal system: monoclinic
- Total magnetic moment: 0.0 μB per formula unit
- VASP energy: -7.64 eV per atom
- Formation energy from raw total energies: -33.6 kJ/mol of formula units


# 19
Entry from the Alexandria database: a relaxed Te3MoP3 crystal (PBE).

Cell lengths 12.7230, 10.2741, 3.2424 Å; angles 90.00, 90.00, 104.39 degrees
Fractional positions:
P 0.0751 0.9067 0.2500
P 0.0231 0.2409 0.2500
P 0.8985 0.8787 0.2500
P 0.9249 0.0933 0.7500
P 0.9769 0.7591 0.7500
P 0.1015 0.1213 0.7500
Mo 0.3420 0.7333 0.2500
Mo 0.6580 0.2667 0.7500
Te 0.5054 0.3257 0.2500
Te 0.6582 0.0546 0.2500
Te 0.8103 0.4199 0.2500
Te 0.4946 0.6743 0.7500
Te 0.3418 0.9454 0.7500
Te 0.1897 0.5801 0.7500

- Symmetry: No. 11
- ΔE to the lowest computed polymorph: 0 meV per atom
- Crystal system: monoclinic
- Total magnetic moment: 0.0 μB per formula unit
- VASP energy: -5.07 eV per atom
- Formation energy from raw total energies: 95.0 kJ/mol of formula units


# 20
Entry from the Alexandria database: a relaxed TeMoP2 crystal (PBE).

Cell lengths 5.1710, 5.1710, 5.1710 Å; angles 141.92, 121.54, 71.93 degrees
Fractional positions:
Mo 0.1993 0.6993 0.5000
P 0.9941 0.9941 0.0000
P 0.7751 0.2751 0.5000
Te 0.5315 0.5315 0.0000

- Symmetry: No. 44
- Crystal system: orthorhombic
- Total magnetic moment: 0.0 μB per formula unit
- VASP energy: -5.68 eV per atom
- Formation energy from raw total energies: 198.7 kJ/mol of formula units


Q: Which calculated volume values were calculated for the entries above? A: 65.64; 61.77; 73.20; 62.66; 75.83; 58.84; 87.54; 73.92; 62.71; 92.93; 83.14; 103.30; 85.02; 96.83; 102.08; 53.87; 74.55; 71.37; 205.27; 71.32, in Å³/f.u..